No. 1
{"formula": "HfMgZrMo", "functional": "GGA-PBE", "state": "relaxed", "lattice_angstrom": [[4.816, 0.000, 0.000], [2.408, 4.170, 0.000], [2.408, 1.390, 3.932]], "species": ["Mo", "Hf", "Mg", "Zr"], "fractional_positions": [[0.000, 0.000, 0.000], [0.750, 0.750, 0.750], [0.500, 0.500, 0.500], [0.250, 0.250, 0.250]], "total_magnetization_mub_per_fu": 0.00, "dos_at_fermi_per_ev_atom": 1.137, "e_tot_ev_per_atom": -7.69}

No. 2
{"formula": "Na2Tl3SbS6", "functional": "GGA-PBE", "state": "relaxed", "lattice_angstrom": [[-5.733, -2.508, 3.317], [3.510, -4.097, -4.588], [4.528, 0.135, 5.267]], "species": ["Na", "Na", "Tl", "Tl", "Tl", "Sb", "S", "S", "S", "S", "S", "S"], "fractional_positions": [[0.336, 0.664, 0.000], [0.664, 0.336, 0.000], [0.172, 0.828, 0.500], [0.828, 0.172, 0.500], [0.500, 0.500, 0.500], [0.000, 0.000, 0.000], [0.911, 0.601, 0.765], [0.770, 0.770, 0.243], [0.089, 0.399, 0.235], [0.601, 0.911, 0.765], [0.230, 0.230, 0.757], [0.399, 0.089, 0.235]], "total_magnetization_mub_per_fu": 0.00, "dos_at_fermi_per_ev_atom": 0.433, "e_tot_ev_per_atom": -3.64}

No. 3
{"formula": "Th4GaPd", "functional": "GGA-PBE", "state": "relaxed", "lattice_angstrom": [[5.429, 0.000, 0.000], [0.000, 6.404, 0.000], [-2.715, 0.000, 10.299]], "species": ["Th", "Th", "Th", "Th", "Th", "Th", "Th", "Th", "Ga", "Ga", "Pd", "Pd"], "fractional_positions": [[0.895, 0.322, 0.790], [0.105, 0.822, 0.210], [0.443, 0.822, 0.886], [0.557, 0.322, 0.114], [0.711, 0.568, 0.422], [0.289, 0.068, 0.578], [0.711, 0.077, 0.422], [0.289, 0.577, 0.578], [0.849, 0.822, 0.698], [0.151, 0.322, 0.302], [0.581, 0.822, 0.162], [0.419, 0.322, 0.838]], "total_magnetization_mub_per_fu": 0.00, "relative_energy_mev_per_atom": 279, "dos_at_fermi_per_ev_atom": 1.103}

No. 4
{"formula": "Ti2AlOs", "functional": "GGA-PBE", "state": "relaxed", "lattice_angstrom": [[7.315, 0.000, 0.000], [0.000, 7.315, 0.000], [3.657, 3.657, 2.610]], "species": ["Os", "Os", "Al", "Al", "Ti", "Ti", "Ti", "Ti"], "fractional_positions": [[0.000, 0.000, 0.000], [0.750, 0.250, 0.500], [0.500, 0.500, 0.000], [0.250, 0.750, 0.500], [0.671, 0.125, 0.250], [0.079, 0.625, 0.250], [0.375, 0.329, 0.750], [0.875, 0.921, 0.750]], "total_magnetization_mub_per_fu": 0.00, "dos_at_fermi_per_ev_atom": 0.904, "e_tot_ev_per_atom": -7.62}

No. 5
{"formula": "CrTcTe", "functional": "GGA-PBE", "state": "relaxed", "lattice_angstrom": [[-2.448, -0.598, -1.901], [0.170, -1.377, 2.835], [-5.880, 9.020, 4.735]], "species": ["Tc", "Tc", "Te", "Te", "Cr", "Cr"], "fractional_positions": [[0.445, 0.889, 0.000], [0.444, 0.888, 0.500], [0.778, 0.555, 0.325], [0.778, 0.555, 0.675], [0.111, 0.223, 0.859], [0.111, 0.223, 0.141]], "total_magnetization_mub_per_fu": 0.00, "relative_energy_mev_per_atom": 543, "dos_at_fermi_per_ev_atom": 0.953}

No. 6
{"formula": "KCaAl2", "functional": "GGA-PBE", "state": "relaxed", "lattice_angstrom": [[0.000, 3.877, 3.877], [3.877, 0.000, 3.877], [3.877, 3.877, 0.000]], "species": ["Ca", "K", "Al", "Al"], "fractional_positions": [[0.500, 0.500, 0.500], [0.000, 0.000, 0.000], [0.250, 0.250, 0.250], [0.750, 0.750, 0.750]], "total_magnetization_mub_per_fu": 0.00, "relative_energy_mev_per_atom": 156, "dos_at_fermi_per_ev_atom": 0.733}